# 1
# AlNi3P | Alexandria via LeMat-Bulk | PBE-GGA | optimized geometry
# Energy above the most stable polymorph in this dataset (eV per formula unit): 0.000
data_AlNi3P
_chemical_formula_sum 'Al2 Ni6 P2'
_symmetry_space_group_name_H-M 'P 1 2/m 1'
_symmetry_Int_Tables_number 10
_cell_length_a 4.858
_cell_length_b 3.706
_cell_length_c 7.309
_cell_angle_alpha 90.00
_cell_angle_beta 108.92
_cell_angle_gamma 90.00
loop_
_symmetry_equiv_pos_as_xyz
'x,y,z'
'-x,-y,-z'
'-x,y,-z'
'x,-y,z'
loop_
_atom_site_label
_atom_site_type_symbol
_atom_site_fract_x
_atom_site_fract_y
_atom_site_fract_z
_atom_site_occupancy
Al1 Al 0.166 0.000 0.333 1
Ni1 Ni 0.000 0.500 0.500 1
Ni2 Ni 0.113 0.500 0.866 1
Ni3 Ni 0.347 0.000 0.698 1
Ni4 Ni 0.500 0.500 0.500 1
P1 P 0.420 0.500 0.169 1


# 2
Al2NiP | PBE-GGA | optimized geometry

Structure (CIF):
```
data_Al2NiP
_chemical_formula_sum 'Al8 Ni4 P4'
_symmetry_space_group_name_H-M 'I -4 2 d'
_symmetry_Int_Tables_number 122
_symmetry_space_group_name_Hall 'I -4 2bw'
_cell_length_a 5.954
_cell_length_b 5.954
_cell_length_c 8.653
_cell_angle_alpha 90.00
_cell_angle_beta 90.00
_cell_angle_gamma 90.00
loop_
_atom_site_label
_atom_site_type_symbol
_atom_site_fract_x
_atom_site_fract_y
_atom_site_fract_z
_atom_site_occupancy
Al1 Al 0.250 0.250 0.125 1
Ni1 Ni 0.000 0.000 0.000 1
P1 P 0.000 0.000 0.500 1
```


# 3
Al2NiP | PBE-GGA | optimized geometry

Structure (CIF):
```
data_Al2NiP
_chemical_formula_sum 'Al6 Ni3 P3'
_symmetry_space_group_name_H-M 'R -3 m'
_symmetry_Int_Tables_number 166
_symmetry_space_group_name_Hall '-R 3 2"'
_cell_length_a 2.9018
_cell_length_b 2.9018
_cell_length_c 22.7196
_cell_angle_alpha 90.00
_cell_angle_beta 90.00
_cell_angle_gamma 120.00
loop_
_atom_site_label
_atom_site_type_symbol
_atom_site_fract_x
_atom_site_fract_y
_atom_site_fract_z
_atom_site_occupancy
Al1 Al 0.0000 0.0000 0.2453 1
Ni1 Ni 0.0000 0.0000 0.5000 1
P1 P 0.0000 0.0000 0.0000 1
```


Number 1: formation energy -0.43 eV/atom, total magnetization 0.0 μB/f.u.. Number 2: formation energy 0.10 eV/atom, total magnetization 0.0 μB/f.u.. Number 3: formation energy -0.18 eV/atom, total magnetization 0.0 μB/f.u..